No. 1
{"formula": "Rb2SnOsBr6", "functional": "PBE", "state": "optimized geometry", "raw_formation_energy_ev_per_atom": -0.74, "dos_at_fermi_per_ev_fu": 0.0, "density_g_cm3": 4.84, "space_group": "I4/mmm, No. 139", "lattice": [[-3.877, 3.877, 5.479], [3.877, -3.877, 5.479], [3.877, 3.877, -5.479]], "species": ["Rb", "Rb", "Sn", "Os", "Br", "Br", "Br", "Br", "Br", "Br"], "frac_coords": [[0.250, 0.750, 0.500], [0.750, 0.250, 0.500], [0.000, 0.000, 0.000], [0.500, 0.500, 0.000], [0.267, 0.267, 0.000], [0.267, 0.267, 0.534], [0.267, 0.733, 0.000], [0.733, 0.267, 0.000], [0.733, 0.733, 0.000], [0.733, 0.733, 0.466]]}

***

No. 2
{"formula": "SrGaCo2Ni", "functional": "PBE", "state": "optimized geometry", "dos_at_fermi_per_ev_fu": 9.5, "e_form_ev_per_fu": 10.72, "density_g_cm3": 4.63, "space_group": "P4/mmm, No. 123", "lattice": [[4.674, 0.000, 0.000], [0.000, 4.674, 0.000], [0.000, 0.000, 5.478]], "species": ["Sr", "Ga", "Co", "Co", "Ni"], "frac_coords": [[0.000, 0.000, 0.000], [0.000, 0.000, 0.500], [0.000, 0.500, 0.000], [0.500, 0.000, 0.000], [0.500, 0.500, 0.500]]}